Version a
SrLa2Dy: optimized geometry, PBE-GGA.

a b c (Å): 6.0351 6.0351 6.0351
angles (deg): 60.00 60.00 60.00
Positions (direct):
1 Sr 0.0000 0.0000 0.0000
2 La 0.2500 0.2500 0.2500
3 La 0.7500 0.7500 0.7500
4 Dy 0.5000 0.5000 0.5000

M_tot in μB/atom: 0.00
Theoretical density in g/cm3: 5.6
SG: Fm-3m

Version b
SrLa2Dy: optimized geometry, PBE-GGA.

a b c (Å): 13.3927 13.3927 13.3927
angles (deg): 15.90 15.90 15.90
Positions (direct):
1 Sr 0.0000 0.0000 0.0000
2 La 0.0933 0.0933 0.0933
3 La 0.9067 0.9067 0.9067
4 Dy 0.5000 0.5000 0.5000

M_tot in μB/atom: 0.00
Theoretical density in g/cm3: 5.6
SG: R-3m

Version c
SrLa2Dy: optimized geometry, PBE-GGA.

a b c (Å): 4.2221 4.2221 9.0645
angles (deg): 90.00 90.00 90.00
Positions (direct):
1 Sr 0.0000 0.0000 0.0000
2 La 0.5000 0.5000 0.2940
3 La 0.5000 0.5000 0.7060
4 Dy 0.0000 0.0000 0.5000

M_tot in μB/atom: 0.00
Theoretical density in g/cm3: 5.4
SG: P4/mmm

Version d
SrLa2Dy: optimized geometry, PBE-GGA.

a b c (Å): 12.7642 12.7642 12.7642
angles (deg): 17.01 17.01 17.01
Positions (direct):
1 Sr 0.0000 0.0000 0.0000
2 La 0.5765 0.5765 0.5765
3 La 0.7576 0.7576 0.7576
4 Dy 0.1669 0.1669 0.1669

M_tot in μB/atom: 0.00
Theoretical density in g/cm3: 5.6
SG: R3m

In terms of stability, version d leads; the second structure lies 0.028 eV/atom higher.

Version a
SrLaDy2: optimized geometry, PBE-GGA.

a b c (Å): 12.4202 12.4202 12.4202
angles (deg): 17.23 17.23 17.23
Positions (direct):
1 Sr 0.0000 0.0000 0.0000
2 La 0.8344 0.8344 0.8344
3 Dy 0.2456 0.2456 0.2456
4 Dy 0.4220 0.4220 0.4220

M_tot in μB/atom: 0.00
Theoretical density in g/cm3: 6.2
SG: R3m

Version b
SrLaDy2: optimized geometry, PBE-GGA.

a b c (Å): 3.7519 3.7519 10.5929
angles (deg): 90.00 90.00 90.00
Positions (direct):
1 Sr 0.0000 0.0000 0.0000
2 La 0.0000 0.0000 0.5000
3 Dy 0.5000 0.5000 0.2744
4 Dy 0.5000 0.5000 0.7256

M_tot in μB/atom: 0.00
Theoretical density in g/cm3: 6.1
SG: P4/mmm

In terms of stability, version a leads; the second structure lies 0.013 eV/atom higher.

Version a
La3Tb3Dy2: optimized geometry, PBE-GGA.

a b c (Å): 10.9262 10.9262 10.9262
angles (deg): 153.08 152.72 38.70
Positions (direct):
1 La 0.0000 0.0000 0.0000
2 La 0.3748 0.8748 0.5000
3 La 0.6252 0.1252 0.5000
4 Tb 0.1281 0.6281 0.5000
5 Tb 0.5000 0.5000 0.0000
6 Tb 0.8719 0.3719 0.5000
7 Dy 0.2489 0.2489 0.0000
8 Dy 0.7511 0.7511 0.0000

M_tot in μB/atom: 0.00
Theoretical density in g/cm3: 7.5
SG: Immm

Version b
La3Tb3Dy2: optimized geometry, PBE-GGA.

a b c (Å): 6.2474 6.3030 8.1086
angles (deg): 104.98 104.77 109.45
Positions (direct):
1 La 0.0000 0.0000 0.0000
2 La 0.1243 0.6247 0.2495
3 La 0.8757 0.3753 0.7505
4 Tb 0.3749 0.8749 0.7492
5 Tb 0.5000 0.5000 0.0000
6 Tb 0.6251 0.1251 0.2508
7 Dy 0.2508 0.2506 0.5012
8 Dy 0.7492 0.7494 0.4988

M_tot in μB/atom: 0.00
Theoretical density in g/cm3: 7.5
SG: P-1

In terms of stability, version b leads; the second structure lies 0.006 eV/atom higher.

Version a
LaTbDy2: optimized geometry, PBE-GGA.

a b c (Å): 5.7407 5.7407 5.7407
angles (deg): 60.00 60.00 60.00
Positions (direct):
1 La 0.0000 0.0000 0.0000
2 Tb 0.5000 0.5000 0.5000
3 Dy 0.2500 0.2500 0.2500
4 Dy 0.7500 0.7500 0.7500

M_tot in μB/atom: 0.00
Theoretical density in g/cm3: 7.7
SG: Fm-3m

Version b
LaTbDy2: optimized geometry, PBE-GGA.

a b c (Å): 3.6070 3.6070 10.1519
angles (deg): 90.00 90.00 90.00
Positions (direct):
1 La 0.0000 0.0000 0.0000
2 Tb 0.0000 0.0000 0.5000
3 Dy 0.5000 0.5000 0.2568
4 Dy 0.5000 0.5000 0.7432

M_tot in μB/atom: 0.00
Theoretical density in g/cm3: 7.8
SG: P4/mmm

Version c
LaTbDy2: optimized geometry, PBE-GGA.

a b c (Å): 6.2180 6.2180 6.2180
angles (deg): 131.46 131.46 71.08
Positions (direct):
1 La 0.0000 0.0000 0.0000
2 Tb 0.5000 0.5000 0.0000
3 Dy 0.2500 0.7500 0.5000
4 Dy 0.7500 0.2500 0.5000

M_tot in μB/atom: 0.00
Theoretical density in g/cm3: 7.8
SG: I4/mmm

Version d
LaTbDy2: optimized geometry, PBE-GGA.

a b c (Å): 11.8805 11.8805 11.8805
angles (deg): 17.44 17.44 17.44
Positions (direct):
1 La 0.0000 0.0000 0.0000
2 Tb 0.5000 0.5000 0.5000
3 Dy 0.2483 0.2483 0.2483
4 Dy 0.7517 0.7517 0.7517

M_tot in μB/atom: 0.00
Theoretical density in g/cm3: 7.9
SG: R-3m

In terms of stability, version d leads; the second structure lies 0.009 eV/atom higher.

Version a
La7Tb12Dy: optimized geometry, PBE-GGA.

a b c (Å): 9.8711 9.8711 9.8711
angles (deg): 109.47 109.47 109.47
Positions (direct):
1 La 0.0000 0.0000 0.5000
2 La 0.0000 0.5000 0.0000
3 La 0.0000 0.5000 0.5000
4 La 0.5000 0.0000 0.0000
5 La 0.5000 0.0000 0.5000
6 La 0.5000 0.5000 0.0000
7 La 0.5000 0.5000 0.5000
8 Tb 0.0000 0.2465 0.7535
9 Tb 0.0000 0.7535 0.2465
10 Tb 0.2465 0.0000 0.7535
11 Tb 0.2465 0.2465 0.4929
12 Tb 0.2465 0.4929 0.2465
13 Tb 0.2465 0.7535 0.0000
14 Tb 0.4929 0.2465 0.2465
15 Tb 0.5071 0.7535 0.7535
16 Tb 0.7535 0.0000 0.2465
17 Tb 0.7535 0.2465 0.0000
18 Tb 0.7535 0.5071 0.7535
19 Tb 0.7535 0.7535 0.5071
20 Dy 0.0000 0.0000 0.0000

M_tot in μB/atom: 0.00
Theoretical density in g/cm3: 6.8
SG: Im-3m

Version b
La7Tb12Dy: optimized geometry, PBE-GGA.

a b c (Å): 8.8726 8.8726 8.8726
angles (deg): 86.27 86.27 86.27
Positions (direct):
1 La 0.0000 0.0000 0.0000
2 La 0.1042 0.3388 0.4150
3 La 0.3388 0.4150 0.1042
4 La 0.4150 0.1042 0.3388
5 La 0.5850 0.8958 0.6612
6 La 0.6612 0.5850 0.8958
7 La 0.8958 0.6612 0.5850
8 Tb 0.0025 0.3650 0.8825
9 Tb 0.1175 0.9975 0.6350
10 Tb 0.2270 0.7507 0.3564
11 Tb 0.2493 0.6436 0.7730
12 Tb 0.3564 0.2270 0.7507
13 Tb 0.3650 0.8825 0.0025
14 Tb 0.6350 0.1175 0.9975
15 Tb 0.6436 0.7730 0.2493
16 Tb 0.7507 0.3564 0.2270
17 Tb 0.7730 0.2493 0.6436
18 Tb 0.8825 0.0025 0.3650
19 Tb 0.9975 0.6350 0.1175
20 Dy 0.5000 0.5000 0.5000

M_tot in μB/atom: 0.00
Theoretical density in g/cm3: 7.3
SG: R-3

In terms of stability, version b leads; the second structure lies 0.384 eV/atom higher.

Version a
La2Tb6Dy3: optimized geometry, PBE-GGA.

a b c (Å): 6.1259 6.1259 11.8134
angles (deg): 94.58 94.58 119.51
Positions (direct):
1 La 0.1727 0.8273 0.0000
2 La 0.8273 0.1727 0.0000
3 Tb 0.0753 0.4092 0.7438
4 Tb 0.2577 0.2577 0.2538
5 Tb 0.4092 0.0753 0.7438
6 Tb 0.5908 0.9247 0.2562
7 Tb 0.7423 0.7423 0.7462
8 Tb 0.9247 0.5908 0.2562
9 Dy 0.0000 0.0000 0.5000
10 Dy 0.3351 0.6649 0.5000
11 Dy 0.6649 0.3351 0.5000

M_tot in μB/atom: 0.00
Theoretical density in g/cm3: 7.5
SG: C2/m

Version b
La2Tb6Dy3: optimized geometry, PBE-GGA.

a b c (Å): 17.1923 17.1923 17.1923
angles (deg): 164.07 164.07 22.60
Positions (direct):
1 La 0.0460 0.0460 0.0000
2 La 0.9540 0.9540 0.0000
3 Tb 0.1236 0.6236 0.5000
4 Tb 0.1969 0.1969 0.0000
5 Tb 0.3764 0.8764 0.5000
6 Tb 0.6236 0.1236 0.5000
7 Tb 0.8031 0.8031 0.0000
8 Tb 0.8764 0.3764 0.5000
9 Dy 0.2986 0.2986 0.0000
10 Dy 0.5000 0.5000 0.0000
11 Dy 0.7014 0.7014 0.0000

M_tot in μB/atom: 0.00
Theoretical density in g/cm3: 7.5
SG: I4/mmm

In terms of stability, version a leads; the second structure lies 0.090 eV/atom higher.

Version a
La4Tb2Dy3: optimized geometry, PBE-GGA.

a b c (Å): 8.1431 8.1431 8.0985
angles (deg): 107.45 107.45 36.99
Positions (direct):
1 La 0.0541 0.0541 0.3305
2 La 0.2767 0.2767 0.6678
3 La 0.7233 0.7233 0.3322
4 La 0.9459 0.9459 0.6695
5 Tb 0.1673 0.1673 0.0000
6 Tb 0.8327 0.8327 0.0000
7 Dy 0.3883 0.3883 0.3288
8 Dy 0.5000 0.5000 0.0000
9 Dy 0.6117 0.6117 0.6712

M_tot in μB/atom: 0.00
Theoretical density in g/cm3: 7.4
SG: C2/m

Version b
La4Tb2Dy3: optimized geometry, PBE-GGA.

a b c (Å): 6.7813 6.7813 14.5866
angles (deg): 115.02 115.02 31.54
Positions (direct):
1 La 0.2183 0.2183 0.1062
2 La 0.2750 0.2750 0.6278
3 La 0.7250 0.7250 0.3722
4 La 0.7817 0.7817 0.8938
5 Tb 0.0457 0.0457 0.7090
6 Tb 0.9543 0.9543 0.2910
7 Dy 0.4938 0.4938 0.1116
8 Dy 0.5000 0.5000 0.5000
9 Dy 0.5062 0.5062 0.8884

M_tot in μB/atom: 0.00
Theoretical density in g/cm3: 7.2
SG: C2/m

In terms of stability, version a leads; the second structure lies 0.055 eV/atom higher.

Version a
LaTbDy6: optimized geometry, PBE-GGA.

a b c (Å): 5.0531 5.0531 10.1056
angles (deg): 90.00 90.00 90.00
Positions (direct):
1 La 0.0000 0.0000 0.0000
2 Tb 0.0000 0.0000 0.5000
3 Dy 0.0000 0.5000 0.2539
4 Dy 0.0000 0.5000 0.7461
5 Dy 0.5000 0.0000 0.2539
6 Dy 0.5000 0.0000 0.7461
7 Dy 0.5000 0.5000 0.0000
8 Dy 0.5000 0.5000 0.5000

M_tot in μB/atom: 0.00
Theoretical density in g/cm3: 8.2
SG: P4/mmm

Version b
LaTbDy6: optimized geometry, PBE-GGA.

a b c (Å): 6.1406 6.1406 8.5434
angles (deg): 102.83 102.83 66.40
Positions (direct):
1 La 0.0000 0.0000 0.0000
2 Tb 0.0000 0.0000 0.5000
3 Dy 0.0601 0.5430 0.2024
4 Dy 0.3756 0.3756 0.5766
5 Dy 0.4570 0.9399 0.7976
6 Dy 0.5430 0.0601 0.2024
7 Dy 0.6244 0.6244 0.4234
8 Dy 0.9399 0.4570 0.7976

M_tot in μB/atom: 0.00
Theoretical density in g/cm3: 7.4
SG: C2/m

In terms of stability, version a leads; the second structure lies 0.343 eV/atom higher.

Version a
La5Tb2Dy4: optimized geometry, PBE-GGA.

a b c (Å): 12.8764 12.8764 12.8764
angles (deg): 164.13 137.61 45.54
Positions (direct):
1 La 0.0000 0.0000 0.0000
2 La 0.0547 0.3526 0.7022
3 La 0.3496 0.6474 0.7022
4 La 0.6504 0.3526 0.2978
5 La 0.9453 0.6474 0.2978
6 Tb 0.2693 0.7693 0.5000
7 Tb 0.7307 0.2307 0.5000
8 Dy 0.3145 0.5000 0.8145
9 Dy 0.4036 0.9036 0.5000
10 Dy 0.5964 0.0964 0.5000
11 Dy 0.6855 0.5000 0.1855

M_tot in μB/atom: 0.00
Theoretical density in g/cm3: 7.0
SG: Immm

Version b
La5Tb2Dy4: optimized geometry, PBE-GGA.

a b c (Å): 9.3041 9.3041 11.9041
angles (deg): 101.02 101.02 22.42
Positions (direct):
1 La 0.0000 0.0000 0.0000
2 La 0.3345 0.3345 0.9984
3 La 0.3514 0.3514 0.4920
4 La 0.6486 0.6486 0.5080
5 La 0.6655 0.6655 0.0016
6 Tb 0.1464 0.1464 0.2514
7 Tb 0.8536 0.8536 0.7486
8 Dy 0.1907 0.1907 0.7612
9 Dy 0.4797 0.4797 0.2729
10 Dy 0.5203 0.5203 0.7271
11 Dy 0.8093 0.8093 0.2388

M_tot in μB/atom: 0.00
Theoretical density in g/cm3: 7.2
SG: C2/m

In terms of stability, version b leads; the second structure lies 0.056 eV/atom higher.

Version a
LaTb4Dy7: optimized geometry, PBE-GGA.

a b c (Å): 6.7320 6.7320 12.6434
angles (deg): 114.86 114.86 52.01
Positions (direct):
1 La 0.0000 0.0000 0.0000
2 Tb 0.2509 0.2509 0.6836
3 Tb 0.3695 0.3695 0.2250
4 Tb 0.6305 0.6305 0.7750
5 Tb 0.7491 0.7491 0.3164
6 Dy 0.0583 0.0583 0.3332
7 Dy 0.2102 0.2102 0.9220
8 Dy 0.3661 0.3661 0.4961
9 Dy 0.5000 0.5000 0.0000
10 Dy 0.6339 0.6339 0.5039
11 Dy 0.7898 0.7898 0.0780
12 Dy 0.9417 0.9417 0.6668

M_tot in μB/atom: 0.00
Theoretical density in g/cm3: 8.0
SG: C2/m

Version b
LaTb4Dy7: optimized geometry, PBE-GGA.

a b c (Å): 6.2270 7.1948 8.8617
angles (deg): 90.00 76.45 89.99
Positions (direct):
1 La 0.0000 0.0000 0.0000
2 Tb 0.2210 0.4998 0.3341
3 Tb 0.2787 0.7489 0.6643
4 Tb 0.7213 0.2511 0.3357
5 Tb 0.7790 0.5002 0.6659
6 Dy 0.0000 0.5000 0.0000
7 Dy 0.2225 0.9999 0.3351
8 Dy 0.2788 0.2514 0.6644
9 Dy 0.4996 0.2514 0.0000
10 Dy 0.5004 0.7486 0.0000
11 Dy 0.7212 0.7486 0.3356
12 Dy 0.7775 0.0001 0.6649

M_tot in μB/atom: 0.00
Theoretical density in g/cm3: 8.2
SG: P-1

In terms of stability, version b leads; the second structure lies 0.261 eV/atom higher.